# 1
# Ca2VGe2 (PBE-GGA, optimized geometry)
# ΔH_f (0 K)	-321	meV/atom
# energy	-47.9	eV/cell
data_Ca2VGe2
_cell_length_a 7.0517
_cell_length_b 7.0517
_cell_length_c 4.5482
_cell_angle_alpha 90.00
_cell_angle_beta 90.00
_cell_angle_gamma 90.00
_space_group_name_H-M_alt 'P 4/m b m'
_space_group_IT_number 127
_space_group_name_Hall '-P 4 2ab'
loop_
_atom_site_label
_atom_site_type_symbol
_atom_site_fract_x
_atom_site_fract_y
_atom_site_fract_z
Ca1 Ca 0.1717 0.3283 0.0000
V1 V 0.0000 0.0000 0.5000
Ge1 Ge 0.1340 0.6340 0.5000

# 2
# CaVGe (PBE-GGA, optimized geometry)
# ΔH_f (0 K)	-200	meV/atom
# energy	-65.3	eV/cell
data_CaVGe
_cell_length_a 5.0774
_cell_length_b 5.9442
_cell_length_c 7.7142
_cell_angle_alpha 90.00
_cell_angle_beta 90.00
_cell_angle_gamma 90.00
_space_group_name_H-M_alt 'I m m 2'
_space_group_IT_number 44
_space_group_name_Hall 'I 2 -2'
loop_
_atom_site_label
_atom_site_type_symbol
_atom_site_fract_x
_atom_site_fract_y
_atom_site_fract_z
Ca1 Ca 0.0000 0.0000 0.0000
Ca2 Ca 0.0000 0.5000 0.2435
V1 V 0.1975 0.5000 0.8613
Ge1 Ge 0.0000 0.2336 0.6046

# 3
# CaVGe (PBE-GGA, optimized geometry)
# ΔH_f (0 K)	-76	meV/atom
# energy	-31.9	eV/cell
data_CaVGe
_cell_length_a 3.0854
_cell_length_b 5.0841
_cell_length_c 7.8041
_cell_angle_alpha 88.89
_cell_angle_beta 79.49
_cell_angle_gamma 87.41
_space_group_name_H-M_alt 'P 1'
_space_group_IT_number 1
_space_group_name_Hall 'P 1'
loop_
_atom_site_label
_atom_site_type_symbol
_atom_site_fract_x
_atom_site_fract_y
_atom_site_fract_z
Ca1 Ca 0.0000 0.0000 0.0000
Ca2 Ca 0.0893 0.5044 0.7105
V1 V 0.4023 0.7545 0.3586
V2 V 0.7607 0.3785 0.3442
Ge1 Ge 0.4409 0.5023 0.0717
Ge2 Ge 0.6870 0.0199 0.5988

# 4
# CaVGe (PBE-GGA, optimized geometry)
# ΔH_f (0 K)	-324	meV/atom
# energy	-66.8	eV/cell
data_CaVGe
_cell_length_a 3.8007
_cell_length_b 4.0269
_cell_length_c 16.0661
_cell_angle_alpha 90.00
_cell_angle_beta 90.00
_cell_angle_gamma 90.00
_space_group_name_H-M_alt 'I m m m'
_space_group_IT_number 71
_space_group_name_Hall '-I 2 2'
loop_
_atom_site_label
_atom_site_type_symbol
_atom_site_fract_x
_atom_site_fract_y
_atom_site_fract_z
Ca1 Ca 0.0000 0.0000 0.1713
V1 V 0.0000 0.5000 0.0000
V2 V 0.0000 0.5000 0.5000
Ge1 Ge 0.0000 0.0000 0.3893

# 5
# CaZrV2Ge (PBE-GGA, optimized geometry)
# ΔH_f (0 K)	1406	meV/atom
# energy	-26.4	eV/cell
data_CaZrV2Ge
_cell_length_a 4.7163
_cell_length_b 4.7163
_cell_length_c 5.6168
_cell_angle_alpha 90.00
_cell_angle_beta 90.00
_cell_angle_gamma 90.00
_space_group_name_H-M_alt 'P 4/m m m'
_space_group_IT_number 123
_space_group_name_Hall '-P 4 2'
loop_
_atom_site_label
_atom_site_type_symbol
_atom_site_fract_x
_atom_site_fract_y
_atom_site_fract_z
Ca1 Ca 0.0000 0.0000 0.0000
Zr1 Zr 0.0000 0.0000 0.5000
V1 V 0.0000 0.5000 0.5000
Ge1 Ge 0.5000 0.5000 0.0000

# 6
# CaGe2W2 (PBE-GGA, optimized geometry)
# ΔH_f (0 K)	223	meV/atom
# relative energy among the computed polymorphs	0	meV per atom
# energy	-72.1	eV/cell
data_CaGe2W2
_cell_length_a 4.7841
_cell_length_b 4.7841
_cell_length_c 8.9613
_cell_angle_alpha 90.00
_cell_angle_beta 90.00
_cell_angle_gamma 90.00
_space_group_name_H-M_alt 'I 4/m m m'
_space_group_IT_number 139
_space_group_name_Hall '-I 4 2'
loop_
_atom_site_label
_atom_site_type_symbol
_atom_site_fract_x
_atom_site_fract_y
_atom_site_fract_z
Ca1 Ca 0.0000 0.0000 0.0000
Ge1 Ge 0.0000 0.5000 0.2500
W1 W 0.0000 0.0000 0.3685

# 7
# CaGe3W (PBE-GGA, optimized geometry)
# ΔH_f (0 K)	2075	meV/atom
# relative energy among the computed polymorphs	2013	meV per atom
# energy	-18.4	eV/cell
data_CaGe3W
_cell_length_a 5.0015
_cell_length_b 5.0015
_cell_length_c 5.0015
_cell_angle_alpha 90.00
_cell_angle_beta 90.00
_cell_angle_gamma 90.00
_space_group_name_H-M_alt 'P m -3 m'
_space_group_IT_number 221
_space_group_name_Hall '-P 4 2 3'
loop_
_atom_site_label
_atom_site_type_symbol
_atom_site_fract_x
_atom_site_fract_y
_atom_site_fract_z
Ca1 Ca 0.0000 0.0000 0.0000
Ge1 Ge 0.0000 0.0000 0.5000
W1 W 0.5000 0.5000 0.5000

# 8
# CaGe3W (PBE-GGA, optimized geometry)
# ΔH_f (0 K)	62	meV/atom
# relative energy among the computed polymorphs	0	meV per atom
# energy	-28.5	eV/cell
data_CaGe3W
_cell_length_a 4.9286
_cell_length_b 4.9286
_cell_length_c 4.9286
_cell_angle_alpha 90.00
_cell_angle_beta 90.00
_cell_angle_gamma 90.00
_space_group_name_H-M_alt 'P m -3 m'
_space_group_IT_number 221
_space_group_name_Hall '-P 4 2 3'
loop_
_atom_site_label
_atom_site_type_symbol
_atom_site_fract_x
_atom_site_fract_y
_atom_site_fract_z
Ca1 Ca 0.0000 0.0000 0.0000
Ge1 Ge 0.0000 0.5000 0.5000
W1 W 0.5000 0.5000 0.5000

The highest energy belongs to which entry?
number 7